## Cs5OsO4F2 (PBE)

Data for a relaxed Cs5OsO4F2 crystal.

Formation energy without anion corrections, eV/atom: -1.69
Energy, eV for the cell shown: -59.4

Cell: 7.1817 6.6716 8.1470 Å, 90.00 90.00 122.56°
Each line ends with the local moment (μB).
Atoms (fractional coordinates):
Cs  0.7094  0.6410  0.2367  0.00
Cs  0.4108  0.0000  0.5000  0.00
Cs  0.0684  0.3590  0.2367  0.00
Cs  0.0684  0.3590  0.7633  0.00
Cs  0.7094  0.6410  0.7633  0.00
F  0.3755  0.4247  0.5000  0.00
F  0.9508  0.5753  0.5000  0.00
Os  0.3998  0.0000  0.0000  0.62
O  0.3885  0.2652  0.0000  0.09
O  0.6007  0.0000  0.8455  0.07
O  0.1233  0.7348  0.0000  0.09
O  0.6007  0.0000  0.1545  0.07

---

## CsOsO2F (PBE)

Data for a relaxed CsOsO2F crystal.

Formation energy without anion corrections, eV/atom: -1.33
Energy, eV for the cell shown: -30.5

Cell: 3.7707 3.7707 7.2026 Å, 90.00 90.00 90.00°
Atoms (fractional coordinates):
O  0.0000  0.5000  0.0000
O  0.5000  0.0000  0.0000
F  0.0000  0.0000  0.5000
Cs  0.5000  0.5000  0.5000
Os  0.0000  0.0000  0.0000

---

## Cs2OsO4F2 (PBE)

Data for a relaxed Cs2OsO4F2 crystal.

Formation energy without anion corrections, eV/atom: -1.60
Energy, eV for the cell shown: -50.9

Cell: 6.4921 6.4921 6.4921 Å, 93.72 117.87 117.87°
Atoms (fractional coordinates):
O  0.3830  0.1915  0.1915
O  0.0000  0.1915  0.8085
O  0.6170  0.8085  0.8085
O  0.0000  0.8085  0.1915
Cs  0.5000  0.2500  0.7500
Cs  0.5000  0.7500  0.2500
F  0.0000  0.2228  0.2228
F  0.0000  0.7772  0.7772
Os  0.0000  0.0000  0.0000

---

## CsPO2F2 (PBE)

Data for a relaxed CsPO2F2 crystal.

Formation energy without anion corrections, eV/atom: -2.52
Energy, eV for the cell shown: -140.3

Cell: 6.7961 8.2547 8.8681 Å, 90.00 90.00 90.00°
Atoms (fractional coordinates):
O  0.0575  0.7213  0.3963
O  0.4425  0.7213  0.3963
O  0.5575  0.2213  0.1037
O  0.9425  0.2787  0.6037
O  0.0575  0.7787  0.8963
O  0.5575  0.2787  0.6037
O  0.9425  0.2213  0.1037
O  0.4425  0.7787  0.8963
F  0.7500  0.4413  0.2314
F  0.7500  0.0587  0.7314
F  0.2500  0.5679  0.0379
F  0.2500  0.5587  0.7686
F  0.7500  0.0679  0.4621
F  0.2500  0.9321  0.5379
F  0.2500  0.9413  0.2686
F  0.7500  0.4321  0.9621
Cs  0.2500  0.1480  0.8525
Cs  0.7500  0.6480  0.6475
Cs  0.7500  0.8520  0.1475
Cs  0.2500  0.3520  0.3525
P  0.7500  0.3072  0.1003
P  0.2500  0.6928  0.8997
P  0.2500  0.8072  0.3997
P  0.7500  0.1928  0.6003

---

## Cs2POF6 (PBE)

Data for a relaxed Cs2POF6 crystal.

Formation energy without anion corrections, eV/atom: -2.23
Energy, eV for the cell shown: -45.6

Cell: 6.6982 6.6982 6.5381 Å, 59.19 59.19 90.00°
Each line ends with the local moment (μB).
Atoms (fractional coordinates):
Cs  0.7500  0.2500  0.5000  0.00
Cs  0.2500  0.7500  0.5000  0.00
F  0.8180  0.8180  0.3639  0.00
F  0.1733  0.8267  0.0000  0.00
F  0.8267  0.1733  0.0000  0.00
F  0.1820  0.1820  0.6361  0.00
F  0.8267  0.8267  0.0000  0.00
F  0.1733  0.1733  0.0000  0.00
P  0.0000  0.0000  0.0000  0.00
O  0.5000  0.5000  0.0000  0.76

---

## Cs5PO4F2 (PBE)

Data for a relaxed Cs5PO4F2 crystal.

Formation energy without anion corrections, eV/atom: -2.26
Energy, eV for the cell shown: -60.4

Cell: 7.0085 6.2768 8.3757 Å, 90.00 90.00 123.94°
Each line ends with the local moment (μB).
Atoms (fractional coordinates):
Cs  0.7246  0.6302  0.7722  0.00
Cs  0.0944  0.3698  0.7722  0.00
Cs  0.0944  0.3698  0.2278  0.00
Cs  0.7246  0.6302  0.2278  0.00
Cs  0.4256  0.0000  0.5000  0.00
F  0.9325  0.5348  0.5000  0.00
F  0.3977  0.4652  0.5000  0.00
O  0.1488  0.7544  0.0000  0.01
O  0.5334  0.0000  0.8472  0.05
O  0.3944  0.2456  0.0000  0.01
O  0.5334  0.0000  0.1528  0.05
P  0.4020  0.0000  0.0000  0.00

---

## CsP2OF (PBE)

Data for a relaxed CsP2OF crystal.

Formation energy without anion corrections, eV/atom: 1.30
Energy, eV for the cell shown: -12.0

Cell: 7.0405 7.0405 4.4308 Å, 90.00 90.00 90.00°
Each line ends with the local moment (μB).
Atoms (fractional coordinates):
Cs  0.0000  0.0000  0.0000  0.03
P  0.5000  0.0000  0.0000  1.19
P  0.0000  0.5000  0.0000  1.19
O  0.0000  0.0000  0.5000  -0.05
F  0.5000  0.5000  0.5000  -0.39

---

## CsSbPO4F3 (PBE)

Data for a relaxed CsSbPO4F3 crystal.

Formation energy without anion corrections, eV/atom: -2.19
Energy, eV for the cell shown: -231.0

Cell: 5.6366 9.6347 13.4738 Å, 76.97 90.00 90.00°
Atoms (fractional coordinates):
O  0.5287  0.8843  0.8931
O  0.7500  0.8887  0.7238
O  0.2500  0.1113  0.2762
O  0.9714  0.8843  0.8931
O  0.0286  0.1157  0.1069
O  0.2500  0.1113  0.7762
O  0.7500  0.1073  0.2996
O  0.4713  0.1157  0.1069
O  0.5286  0.8843  0.3931
O  0.9713  0.8843  0.3931
O  0.0287  0.1157  0.6069
O  0.2500  0.8927  0.2004
O  0.7500  0.8887  0.2238
O  0.7500  0.1073  0.7996
O  0.2500  0.8927  0.7004
O  0.4714  0.1157  0.6069
P  0.2500  0.0633  0.6793
P  0.7500  0.9367  0.8207
P  0.7500  0.9367  0.3207
P  0.2500  0.0633  0.1793
F  0.9743  0.3552  0.6842
F  0.0257  0.6448  0.3158
F  0.2500  0.6735  0.4864
F  0.5257  0.3552  0.1842
F  0.0258  0.6448  0.8158
F  0.4743  0.6448  0.8158
F  0.7500  0.3265  0.0136
F  0.5258  0.3552  0.6842
F  0.2500  0.6735  0.9864
F  0.7500  0.3265  0.5136
F  0.4742  0.6448  0.3158
F  0.9742  0.3552  0.1842
Cs  0.7500  0.6689  0.6072
Cs  0.2500  0.3311  0.3928
Cs  0.2500  0.3311  0.8928
Cs  0.7500  0.6689  0.1072
Sb  0.7500  0.2180  0.6537
Sb  0.2500  0.7820  0.3463
Sb  0.7500  0.2180  0.1537
Sb  0.2500  0.7820  0.8463

---

## Cs3Pa2O4F3 (PBE)

Data for a relaxed Cs3Pa2O4F3 crystal.

Formation energy without anion corrections, eV/atom: -2.88
Energy, eV for the cell shown: -81.5

Cell: 4.4337 4.8148 12.9729 Å, 100.69 99.84 90.00°
Each line ends with the local moment (μB).
Atoms (fractional coordinates):
O  0.8207  0.8184  0.6368  -0.02
O  0.1838  0.1816  0.3632  -0.02
O  0.5945  0.0922  0.1845  -0.03
O  0.4101  0.9078  0.8155  -0.03
Pa  0.1030  0.1007  0.2014  0.99
Pa  0.9016  0.8993  0.7986  0.99
Cs  0.5023  0.5000  0.0000  0.01
Cs  0.3052  0.3027  0.6053  0.00
Cs  0.6999  0.6973  0.3947  0.00
F  0.9098  0.4076  0.8153  -0.01
F  0.0024  0.0000  0.0000  -0.01
F  0.0945  0.5924  0.1847  -0.01

---

## CsPaO2F (PBE)

Data for a relaxed CsPaO2F crystal.

Formation energy without anion corrections, eV/atom: -2.99
Energy, eV for the cell shown: -74.2

Cell: 6.3148 6.3148 6.6300 Å, 118.44 118.44 90.00°
Each line ends with the local moment (μB).
Atoms (fractional coordinates):
F  0.7501  0.7501  0.5002  -0.01
F  0.2501  0.2501  0.5002  -0.01
O  0.2504  0.7504  0.9998  -0.03
O  0.2494  0.2504  0.9998  -0.03
O  0.7494  0.2494  0.9998  -0.03
O  0.7504  0.7494  0.9998  -0.03
Pa  0.0001  0.0001  0.0002  1.01
Pa  0.5001  0.5001  0.0002  1.01
Cs  0.2502  0.7502  0.5004  0.01
Cs  0.7502  0.2502  0.5004  0.01

---

## Cs2PaO3F3 (PBE)

Data for a relaxed Cs2PaO3F3 crystal.

Formation energy without anion corrections, eV/atom: -2.55
Energy, eV for the cell shown: -54.7

Cell: 3.7376 7.2787 7.2787 Å, 120.00 90.00 90.00°
Each line ends with the local moment (μB).
Atoms (fractional coordinates):
F  0.0000  0.6844  0.6844  0.04
F  0.0000  0.0000  0.3156  0.04
F  0.0000  0.3156  0.0000  0.04
O  0.5000  0.8066  0.0000  0.55
O  0.5000  0.1934  0.1934  0.55
O  0.5000  0.0000  0.8066  0.55
Pa  0.0000  0.0000  0.0000  -0.14
Cs  0.5000  0.6667  0.3333  0.01
Cs  0.5000  0.3333  0.6667  0.01

---

## Cs3Pa2O5F2 (PBE)

Data for a relaxed Cs3Pa2O5F2 crystal.

Formation energy without anion corrections, eV/atom: -3.02
Energy, eV for the cell shown: -86.3

Cell: 4.4540 4.4540 12.8797 Å, 99.96 99.96 90.00°
Each line ends with the local moment (μB).
Atoms (fractional coordinates):
F  0.6844  0.6844  0.3688  0.00
F  0.3156  0.3156  0.6312  0.00
O  0.5000  0.5000  0.0000  -0.01
O  0.5955  0.0955  0.1910  -0.02
O  0.0955  0.5955  0.1910  -0.02
O  0.9045  0.4045  0.8090  -0.02
O  0.4045  0.9045  0.8090  -0.02
Cs  0.1873  0.1873  0.3745  0.00
Cs  0.8127  0.8127  0.6255  0.00
Cs  0.0000  0.0000  0.0000  0.01
Pa  0.5892  0.5892  0.1784  0.52
Pa  0.4108  0.4108  0.8216  0.52

---

> Number 8 is which compound?

CsSbPO4F3